No. 1
Compound: BaCa2Pb2
Source: Alexandria via LeMat-Bulk
Functional: PBE-GGA
Structure: relaxed

Cell: 9.8294 9.8294 3.6795 Å, 90.00 90.00 90.00°
Last column: nearest neighbours and their distance in Å.
Space group P4/mbm (No. 127)
One atom of each set of equivalent atoms:
Ba (0.0000, 0.0000, 0.0000) (multiplicity 2)  4 Pb 3.66, 2 Ba 3.68
Ca (0.1294, 0.3706, 0.5000) (multiplicity 4)  6 Pb 3.36-3.48, 3 Ca 3.60-3.68
Pb (0.1681, 0.6681, 0.0000) (multiplicity 4)  6 Ca 3.36-3.48, 2 Ba 3.66, 2 Pb 3.68

## Properties
- Energy above the lowest structure with this stoichiometry: 24 kJ/mol of formula units
- VASP energy: -3.13 eV per atom
- ΔH_f (0 K): -464 meV per atom

---

No. 2
Compound: Ba2CaPb6
Source: Alexandria via LeMat-Bulk
Functional: PBE-GGA
Structure: relaxed

Cell: 7.4192 7.4192 6.7375 Å, 90.00 90.00 120.00°
Last column: nearest neighbours and their distance in Å.
Space group P-3m1 (No. 164)
One atom of each set of equivalent atoms:
Ba (0.3333, 0.6667, 0.1754) (multiplicity 2)  12 Pb 3.82-3.95
Ca (0.0000, 0.0000, 0.0000) (multiplicity 1)  6 Pb 3.26
Pb (0.1831, 0.3662, 0.6642) (multiplicity 6)  4 Pb 3.23-3.34, 1 Ca 3.26

## Properties
- VASP energy: -3.50 eV per atom
- ΔH_f (0 K): -377 meV per atom

---

No. 3
Compound: Ba2CaPb
Source: Alexandria via LeMat-Bulk
Functional: PBE-GGA
Structure: relaxed

Cell: 5.4637 5.4637 11.1487 Å, 90.00 90.00 90.00°
Last column: nearest neighbours and their distance in Å.
Space group I-4m2 (No. 119)
One atom of each set of equivalent atoms:
Ba (0.0000, 0.0000, 0.0000) (multiplicity 2)  4 Pb 3.86, 4 Ba 3.90, 4 Ca 3.90
Ba (0.0000, 0.5000, 0.2500) (multiplicity 2)  4 Ca 3.86, 4 Ba 3.90, 4 Pb 3.90
Ca (0.0000, 0.5000, 0.7500) (multiplicity 2)  8 Ba 3.86-3.90, 4 Pb 3.90
Pb (0.0000, 0.0000, 0.5000) (multiplicity 2)  8 Ba 3.86-3.90, 4 Ca 3.90

## Properties
- VASP energy: -2.61 eV per atom
- ΔH_f (0 K): -221 meV per atom

---

Number 1: calculated density 5.903 g cm⁻³. Number 2: calculated density 8.055 g cm⁻³. Number 3: calculated density 5.208 g cm⁻³.